## 1
Entry from Alexandria: an optimized crystal structure of CsSiCl2 (GGA-PBE).

Properties
- calculated volume (Å³ per atom) = 30.0
- DOS(E_F) (states/eV/f.u.) = 4.17

Lattice parameters (Å, degrees): 5.5391 5.5391 5.5391 60.00 60.00 60.00
Atoms (fractional coordinates):
Si1 0.0000 0.0000 0.0000
Cl1 0.7500 0.7500 0.7500
Cl2 0.2500 0.2500 0.2500
Cs1 0.5000 0.5000 0.5000

***

## 2
Entry from Alexandria: an optimized crystal structure of CsSiCl2 (GGA-PBE).

Properties
- calculated volume (Å³ per atom) = 40.3
- DOS(E_F) (states/eV/f.u.) = 0.01

Lattice parameters (Å, degrees): 6.3100 6.3100 9.2397 70.03 70.03 90.00
Atoms (fractional coordinates):
Cl1 0.3750 0.4930 0.7500
Cl2 0.2430 0.6250 0.2500
Cl3 0.8750 0.7570 0.7500
Cl4 0.5070 0.1250 0.2500
Cs1 0.7500 0.2500 0.5000
Cs2 0.0000 0.0000 0.0000
Si1 0.2500 0.7500 0.5000
Si2 0.5000 0.5000 0.0000

***

## 3
Entry from Alexandria: an optimized crystal structure of CsSiCl2 (GGA-PBE).

Properties
- calculated volume (Å³ per atom) = 47.5
- DOS(E_F) (states/eV/f.u.) = 1.55

Lattice parameters (Å, degrees): 9.1727 9.1727 9.1727 31.77 31.77 31.77
Atoms (fractional coordinates):
Si1 0.0000 0.0000 0.0000
Cl1 0.0936 0.0936 0.0936
Cl2 0.9064 0.9064 0.9064
Cs1 0.5000 0.5000 0.5000

***

3 is the most stable structure; the next one sits 3.3 kJ/mol of atoms above it.

***

## 1
Entry from Alexandria: an optimized crystal structure of Cs2SiCl (GGA-PBE).

Properties
- calculated volume (Å³ per atom) = 43.5

Lattice parameters (Å, degrees): 6.2672 6.2672 6.2672 60.00 60.00 60.00
Atoms (fractional coordinates):
Cs1 0.2500 0.2500 0.2500
Cs2 0.7500 0.7500 0.7500
Cl1 0.5000 0.5000 0.5000
Si1 0.0000 0.0000 0.0000

***

## 2
Entry from Alexandria: an optimized crystal structure of Cs2SiCl (GGA-PBE).

Properties
- calculated volume (Å³ per atom) = 59.4

Lattice parameters (Å, degrees): 8.5579 8.5579 8.5579 113.83 113.83 101.07
Atoms (fractional coordinates):
Cl1 0.7500 0.2500 0.5000
Cl2 0.0000 0.0000 0.0000
Si1 0.5000 0.5000 0.0000
Si2 0.2500 0.7500 0.5000
Cs1 0.8750 0.9094 0.5344
Cs2 0.0906 0.6250 0.9656
Cs3 0.6594 0.1250 0.0344
Cs4 0.3750 0.3406 0.4656

***

1 is the most stable structure; the next one sits 1.3 kJ/mol of atoms above it.

***

## 1
Entry from Alexandria: an optimized crystal structure of Cs3SmCl6 (GGA-PBE).

Properties
- calculated volume (Å³ per atom) = 40.8
- DOS(E_F) (states/eV/f.u.) = 0.00

Lattice parameters (Å, degrees): 8.1694 8.5930 11.6392 90.00 89.19 90.00
Atoms (fractional coordinates):
Cl1 0.1649 0.2600 0.0691
Cl2 0.7678 0.6747 0.5479
Cl3 0.8877 0.9504 0.2182
Cl4 0.8351 0.7400 0.9309
Cl5 0.1123 0.0496 0.7818
Cl6 0.2678 0.8253 0.0479
Cl7 0.6123 0.4504 0.2818
Cl8 0.7322 0.1747 0.9521
Cl9 0.3877 0.5496 0.7182
Cl10 0.6649 0.2400 0.5691
Cl11 0.3351 0.7600 0.4309
Cl12 0.2322 0.3253 0.4521
Cs1 0.0000 0.0000 0.5000
Cs2 0.5228 0.9373 0.7559
Cs3 0.0228 0.5627 0.2559
Cs4 0.9772 0.4373 0.7441
Cs5 0.5000 0.5000 0.0000
Cs6 0.4772 0.0627 0.2441
Sm1 0.5000 0.5000 0.5000
Sm2 0.0000 0.0000 0.0000

***

## 2
Entry from Alexandria: an optimized crystal structure of Cs3SmCl6 (GGA-PBE).

Properties
- calculated volume (Å³ per atom) = 43.1
- DOS(E_F) (states/eV/f.u.) = 0.00

Lattice parameters (Å, degrees): 8.4794 8.4794 8.4794 60.00 60.00 60.00
Atoms (fractional coordinates):
Cl1 0.7746 0.2254 0.2254
Cl2 0.2254 0.7746 0.7746
Cl3 0.7746 0.2254 0.7746
Cl4 0.7746 0.7746 0.2254
Cl5 0.2254 0.7746 0.2254
Cl6 0.2254 0.2254 0.7746
Cs1 0.2500 0.2500 0.2500
Cs2 0.7500 0.7500 0.7500
Cs3 0.5000 0.5000 0.5000
Sm1 0.0000 0.0000 0.0000

***

1 is the most stable structure; the next one sits 4.5 kJ/mol of atoms above it.

***

## 1
Entry from Alexandria: an optimized crystal structure of CsSmCl4 (GGA-PBE).

Properties
- calculated volume (Å³ per atom) = 32.0
- DOS(E_F) (states/eV/f.u.) = 0.00

Lattice parameters (Å, degrees): 4.8158 4.8158 8.2667 90.00 90.00 90.00
Atoms (fractional coordinates):
Cl1 0.0000 0.5000 0.6945
Cl2 0.5000 0.0000 0.6945
Cl3 0.0000 0.5000 0.3055
Cl4 0.5000 0.0000 0.3055
Cs1 0.0000 0.0000 0.0000
Sm1 0.5000 0.5000 0.5000

***

## 2
Entry from Alexandria: an optimized crystal structure of CsSmCl4 (GGA-PBE).

Properties
- calculated volume (Å³ per atom) = 36.5
- DOS(E_F) (states/eV/f.u.) = 0.00

Lattice parameters (Å, degrees): 7.6088 7.3739 8.6892 93.04 64.03 90.00
Atoms (fractional coordinates):
Cl1 0.6138 0.5687 0.1972
Cl2 0.1890 0.5687 0.1972
Cl3 0.3080 0.1757 0.3840
Cl4 0.3862 0.4313 0.8028
Cl5 0.6920 0.8243 0.6160
Cl6 0.8110 0.4313 0.8028
Cl7 0.7386 0.0000 0.0000
Cl8 0.2614 0.0000 0.0000
Sm1 0.4684 0.2765 0.0633
Sm2 0.5316 0.7235 0.9367
Cs1 0.7912 0.2567 0.4176
Cs2 0.2088 0.7433 0.5824

***

2 is the most stable structure; the next one sits 2.3 kJ/mol of atoms above it.

***

## 1
Entry from Alexandria: an optimized crystal structure of Cs2Sn2Cl5 (GGA-PBE).

Properties
- calculated volume (Å³ per atom) = 33.7
- DOS(E_F) (states/eV/f.u.) = 2.16

Lattice parameters (Å, degrees): 5.7118 5.7118 9.3045 90.00 90.00 90.00
Atoms (fractional coordinates):
Cl1 0.5374 0.0373 0.2246
Cl2 0.0373 0.5374 0.2246
Cl3 0.5373 0.5373 0.5000
Cl4 0.5374 0.0373 0.7754
Cl5 0.0373 0.5374 0.7754
Sn1 0.5373 0.5373 0.1973
Sn2 0.5373 0.5373 0.8027
Cs1 0.0374 0.0374 0.0000
Cs2 0.0373 0.0373 0.5000

***

## 2
Entry from Alexandria: an optimized crystal structure of Cs2Sn2Cl5 (GGA-PBE).

Properties
- calculated volume (Å³ per atom) = 40.1
- DOS(E_F) (states/eV/f.u.) = 1.17

Lattice parameters (Å, degrees): 4.8183 10.1173 8.7963 118.92 90.00 103.78
Atoms (fractional coordinates):
Sn1 0.1690 0.3380 0.8675
Sn2 0.8310 0.6620 0.1325
Cs1 0.5949 0.1898 0.3092
Cs2 0.4051 0.8102 0.6908
Cl1 0.2142 0.4283 0.6429
Cl2 0.0000 0.0000 0.0000
Cl3 0.4043 0.8085 0.2598
Cl4 0.5957 0.1915 0.7402
Cl5 0.7858 0.5717 0.3571

***

1 is the most stable structure; the next one sits 4.1 kJ/mol of atoms above it.

***

## 1
Entry from Alexandria: an optimized crystal structure of Cs2YSnCl6 (GGA-PBE).

Properties
- calculated volume (Å³ per atom) = 38.4
- DOS(E_F) (states/eV/f.u.) = 0.00

Lattice parameters (Å, degrees): 7.7772 7.7772 8.4046 62.44 62.44 90.00
Atoms (fractional coordinates):
Sn1 0.0000 0.0000 0.0000
Cl1 0.2928 0.2928 0.4145
Cl2 0.7072 0.7072 0.5855
Cl3 0.7409 0.7409 0.0000
Cl4 0.7409 0.2591 0.0000
Cl5 0.2591 0.7409 0.0000
Cl6 0.2591 0.2591 0.0000
Cs1 0.7500 0.2500 0.5000
Cs2 0.2500 0.7500 0.5000
Y1 0.5000 0.5000 0.0000

***

## 2
Entry from Alexandria: an optimized crystal structure of Cs2YSnCl6 (GGA-PBE).

Properties
- calculated volume (Å³ per atom) = 37.1

Lattice parameters (Å, degrees): 7.5070 9.0696 10.8986 90.00 90.00 90.00
Atoms (fractional coordinates):
Cl1 0.7440 0.5739 0.0000
Cl2 0.5000 0.2140 0.7449
Cl3 0.7536 0.9816 0.0000
Cl4 0.7560 0.4261 0.5000
Cl5 0.0000 0.7860 0.7551
Cl6 0.2536 0.0184 0.5000
Cl7 0.2464 0.9816 0.0000
Cl8 0.0000 0.7860 0.2449
Cl9 0.2560 0.5739 0.0000
Cl10 0.2440 0.4261 0.5000
Cl11 0.5000 0.2140 0.2551
Cl12 0.7464 0.0184 0.5000
Sn1 0.0000 0.7236 0.5000
Sn2 0.5000 0.2764 0.0000
Y1 0.5000 0.2298 0.5000
Y2 0.0000 0.7702 0.0000
Cs1 0.0000 0.2107 0.7478
Cs2 0.5000 0.7893 0.2478
Cs3 0.5000 0.7893 0.7522
Cs4 0.0000 0.2107 0.2522

***

1 is the most stable structure; the next one sits 0.8 kJ/mol of atoms above it.

***

## 1
Entry from Alexandria: an optimized crystal structure of CsTa2Cl (GGA-PBE).

Properties
- calculated volume (Å³ per atom) = 30.9
- DOS(E_F) (states/eV/f.u.) = 4.82

Lattice parameters (Å, degrees): 5.0054 5.0054 10.4865 76.19 76.19 90.00
Atoms (fractional coordinates):
Cs1 0.7500 0.2500 0.5000
Cs2 0.0000 0.0000 0.0000
Ta1 0.3754 0.1250 0.2500
Ta2 0.3750 0.6246 0.7500
Ta3 0.3746 0.6250 0.2500
Ta4 0.8750 0.6254 0.7500
Cl1 0.5000 0.5000 0.0000
Cl2 0.2500 0.7500 0.5000

***

## 2
Entry from Alexandria: an optimized crystal structure of CsTa2Cl (GGA-PBE).

Properties
- calculated volume (Å³ per atom) = 20.7
- DOS(E_F) (states/eV/f.u.) = 8.15

Lattice parameters (Å, degrees): 4.8928 4.8928 4.8928 60.00 60.00 60.00
Atoms (fractional coordinates):
Ta1 0.2500 0.2500 0.2500
Ta2 0.7500 0.7500 0.7500
Cs1 0.5000 0.5000 0.5000
Cl1 0.0000 0.0000 0.0000

***

1 is the most stable structure; the next one sits 78.2 kJ/mol of atoms above it.

***

## 1
Entry from Alexandria: an optimized crystal structure of CsTb2Cl8 (GGA-PBE).

Properties
- calculated volume (Å³ per atom) = 36.9
- DOS(E_F) (states/eV/f.u.) = 5.12

Lattice parameters (Å, degrees): 8.7829 7.0281 7.0280 73.55 80.02 80.02
Atoms (fractional coordinates):
Cl1 0.6969 0.4399 0.4399
Cl2 0.2066 0.2367 0.2367
Cl3 0.6441 0.9555 0.3351
Cl4 0.6441 0.3351 0.9555
Cl5 0.3031 0.5601 0.5601
Cl6 0.3559 0.6649 0.0445
Cl7 0.7934 0.7633 0.7633
Cl8 0.3559 0.0445 0.6649
Tb1 0.5367 0.6776 0.6776
Tb2 0.4633 0.3224 0.3224
Cs1 0.0000 0.0000 0.0000

***

## 2
Entry from Alexandria: an optimized crystal structure of CsTb2Cl8 (GGA-PBE).

Properties
- calculated volume (Å³ per atom) = 28.2
- DOS(E_F) (states/eV/f.u.) = 1.37

Lattice parameters (Å, degrees): 5.2819 8.1405 8.1405 117.47 90.01 90.01
Atoms (fractional coordinates):
Cl1 0.0003 0.0529 0.3324
Cl2 0.5000 0.2665 0.7335
Cl3 0.9997 0.6676 0.9471
Cl4 0.0003 0.3324 0.0529
Cl5 0.7495 0.4999 0.4999
Cl6 0.5000 0.7335 0.2665
Cl7 0.2505 0.5001 0.5001
Cl8 0.9997 0.9471 0.6676
Tb1 0.0000 0.3043 0.6957
Tb2 0.0000 0.6957 0.3043
Cs1 0.5000 0.0000 0.0000

***

2 is the most stable structure; the next one sits 6.0 kJ/mol of atoms above it.

***

## 1
Entry from Alexandria: an optimized crystal structure of Cs3TbCl6 (GGA-PBE).

Properties
- calculated volume (Å³ per atom) = 42.0
- DOS(E_F) (states/eV/f.u.) = 0.00

Lattice parameters (Å, degrees): 8.4033 8.4033 8.4033 60.00 60.00 60.00
Atoms (fractional coordinates):
Cs1 0.7500 0.7500 0.7500
Cs2 0.5000 0.5000 0.5000
Cs3 0.2500 0.2500 0.2500
Cl1 0.7767 0.7767 0.2233
Cl2 0.2233 0.2233 0.7767
Cl3 0.7767 0.2233 0.7767
Cl4 0.2233 0.7767 0.7767
Cl5 0.7767 0.2233 0.2233
Cl6 0.2233 0.7767 0.2233
Tb1 0.0000 0.0000 0.0000

***

## 2
Entry from Alexandria: an optimized crystal structure of Cs3TbCl6 (GGA-PBE).

Properties
- calculated volume (Å³ per atom) = 40.1
- DOS(E_F) (states/eV/f.u.) = 0.00

Lattice parameters (Å, degrees): 8.1162 8.5345 11.5770 90.00 89.41 90.00
Atoms (fractional coordinates):
Cl1 0.6077 0.4535 0.2840
Cl2 0.6638 0.2423 0.5662
Cl3 0.2652 0.8269 0.0460
Cl4 0.3923 0.5465 0.7160
Cl5 0.3362 0.7577 0.4338
Cl6 0.7348 0.1731 0.9540
Cl7 0.1077 0.0465 0.7840
Cl8 0.1638 0.2577 0.0662
Cl9 0.7652 0.6731 0.5460
Cl10 0.2348 0.3269 0.4540
Cl11 0.8362 0.7423 0.9338
Cl12 0.8923 0.9535 0.2160
Cs1 0.4781 0.0620 0.2454
Cs2 0.0219 0.5620 0.2546
Cs3 0.5000 0.5000 0.0000
Cs4 0.0000 0.0000 0.5000
Cs5 0.9781 0.4380 0.7454
Cs6 0.5219 0.9380 0.7546
Tb1 0.0000 0.0000 0.0000
Tb2 0.5000 0.5000 0.5000

***

2 is the most stable structure; the next one sits 4.0 kJ/mol of atoms above it.

***

## 1
Entry from Alexandria: an optimized crystal structure of CsTcCl2 (GGA-PBE).

Properties
- calculated volume (Å³ per atom) = 36.8
- DOS(E_F) (states/eV/f.u.) = 1.58

Lattice parameters (Å, degrees): 9.5063 9.5063 9.5063 26.18 26.18 26.18
Atoms (fractional coordinates):
Cs1 0.5000 0.5000 0.5000
Cl1 0.9141 0.9141 0.9141
Cl2 0.0859 0.0859 0.0859
Tc1 0.0000 0.0000 0.0000

***

## 2
Entry from Alexandria: an optimized crystal structure of CsTcCl2 (GGA-PBE).

Properties
- calculated volume (Å³ per atom) = 28.4
- DOS(E_F) (states/eV/f.u.) = 0.20

Lattice parameters (Å, degrees): 8.6196 8.6196 8.6196 26.67 26.67 26.67
Atoms (fractional coordinates):
Cl1 0.8738 0.8738 0.8738
Cl2 0.1262 0.1262 0.1262
Tc1 0.5000 0.5000 0.5000
Cs1 0.0000 0.0000 0.0000

***

## 3
Entry from Alexandria: an optimized crystal structure of CsTcCl2 (GGA-PBE).

Properties
- calculated volume (Å³ per atom) = 31.7
- DOS(E_F) (states/eV/f.u.) = 0.46

Lattice parameters (Å, degrees): 6.2663 6.2663 7.8391 66.44 66.44 90.00
Atoms (fractional coordinates):
Tc1 0.2500 0.7500 0.5000
Tc2 0.5000 0.5000 0.0000
Cl1 0.4749 0.1250 0.2500
Cl2 0.2751 0.6250 0.2500
Cl3 0.3750 0.5251 0.7500
Cl4 0.8750 0.7249 0.7500
Cs1 0.7500 0.2500 0.5000
Cs2 0.0000 0.0000 0.0000

***

1 is the most stable structure; the next one sits 6.3 kJ/mol of atoms above it.

***

## 1
Entry from Alexandria: an optimized crystal structure of Cs2TeCl (GGA-PBE).

Properties
- calculated volume (Å³ per atom) = 45.5
- DOS(E_F) (states/eV/f.u.) = 11.01

Lattice parameters (Å, degrees): 6.3598 6.3598 6.3598 60.00 60.00 60.00
Atoms (fractional coordinates):
Cl1 0.0000 0.0000 0.0000
Cs1 0.7500 0.7500 0.7500
Cs2 0.2500 0.2500 0.2500
Te1 0.5000 0.5000 0.5000

***

## 2
Entry from Alexandria: an optimized crystal structure of Cs2TeCl (GGA-PBE).

Properties
- calculated volume (Å³ per atom) = 40.8
- DOS(E_F) (states/eV/f.u.) = 2.24

Lattice parameters (Å, degrees): 4.1084 4.1084 9.6732 90.00 90.00 90.00
Atoms (fractional coordinates):
Te1 0.5000 0.5000 0.5000
Cs1 0.0000 0.0000 0.7826
Cs2 0.0000 0.0000 0.2174
Cl1 0.5000 0.5000 0.0000

***

2 is the most stable structure; the next one sits 16.8 kJ/mol of atoms above it.